The following is a PBEsol calculation of crystalline LiHBr2 at its relaxed geometry, from Alexandria via LeMat-Bulk.

```
4
Lattice="2.019 1.166 6.182 -2.019 1.166 6.182 0.000 -2.331 6.182" Properties=species:S:1:pos:R:3 pbc="T T T"
Li 0.000 0.000 0.000
H 0.000 0.000 9.273
Br 0.000 0.000 7.572
Br 0.000 0.000 10.974
```

Computed properties:
**Uncorrected energy**: -3.12 eV per atom
**Calculated density**: 3191 kg/m³
**Magnetization**: 0.00 μB/cell

***

The following is a PBEsol calculation of crystalline LiMg2HBr at its relaxed geometry, from Alexandria via LeMat-Bulk.

```
5
Lattice="4.061 0.000 0.000 0.000 4.061 0.000 0.000 0.000 5.924" Properties=species:S:1:pos:R:3 pbc="T T T"
Li 0.000 0.000 0.000
Mg 0.000 2.031 2.962
Mg 2.031 0.000 2.962
H 2.031 2.031 2.962
Br 2.031 2.031 0.000
```

Computed properties:
**Uncorrected energy**: -2.37 eV per atom
**Calculated density**: 2319 kg/m³
**Magnetization**: 0.00 μB/cell

***

The following is a PBEsol calculation of crystalline Li4H3BrO3 at its relaxed geometry, from Alexandria via LeMat-Bulk.

```
22
Lattice="5.347 0.000 0.000 0.000 7.445 0.000 -0.258 0.000 6.402" Properties=species:S:1:pos:R:3 pbc="T T T"
Li 0.265 1.861 2.698
Li 1.698 3.875 4.080
Li 1.698 7.292 4.080
Li 2.101 1.861 1.177
Li 2.987 5.584 5.225
Li 3.391 0.153 2.322
Li 3.391 3.570 2.322
Li 4.824 5.584 3.704
H 0.607 5.584 5.590
H 0.943 3.982 1.738
H 0.943 7.186 1.738
H 4.146 0.259 4.664
H 4.146 3.463 4.664
H 4.482 1.861 0.812
Br 0.571 1.861 5.352
Br 4.517 5.584 1.050
O 1.112 5.584 4.749
O 1.459 0.393 2.255
O 1.459 3.330 2.255
O 3.630 4.115 4.147
O 3.630 7.052 4.147
O 3.977 1.861 1.653
```

Computed properties:
**Uncorrected energy**: -4.79 eV per atom
**Calculated density**: 2068 kg/m³
**Magnetization**: 0.00 μB/cell

***

The following is a PBEsol calculation of crystalline LiH6BrO7 at its relaxed geometry, from Alexandria via LeMat-Bulk.

```
30
Lattice="7.686 0.000 0.000 -3.843 6.657 0.000 0.000 0.000 5.504" Properties=species:S:1:pos:R:3 pbc="T T T"
Li 0.000 0.000 0.000
Li 0.000 0.000 2.752
H -0.787 2.198 1.403
H -2.333 4.876 1.403
H 0.787 2.198 1.403
H -1.546 6.239 1.403
H 2.297 0.417 4.155
H 1.510 1.780 4.155
H 2.333 4.876 1.403
H 1.546 6.239 1.403
H 5.390 0.417 4.155
H 3.056 4.459 4.155
H 6.176 1.780 4.155
H 4.630 4.459 4.155
Br 0.000 4.438 3.836
Br 3.843 2.219 1.084
O -1.338 3.665 4.404
O 0.000 1.604 1.377
O -2.454 5.854 1.377
O 1.389 0.802 4.128
O 0.000 4.438 2.203
O 1.338 3.665 4.404
O 0.000 5.983 4.404
O 3.843 0.673 1.652
O 2.505 2.992 1.652
O 3.843 2.219 4.955
O 2.454 5.854 1.377
O 6.297 0.802 4.128
O 3.843 5.052 4.128
O 5.182 2.992 1.652
```

Computed properties:
**Uncorrected energy**: -4.79 eV per atom
**Calculated density**: 2416 kg/m³
**Magnetization**: 0.00 μB/cell

***

The following is a PBEsol calculation of crystalline LiH2RuBr at its relaxed geometry, from Alexandria via LeMat-Bulk.

```
5
Lattice="3.504 0.000 0.000 0.000 3.504 0.000 0.000 0.000 5.370" Properties=species:S:1:pos:R:3 pbc="T T T"
Li 0.000 0.000 0.000
H 0.000 1.752 0.000
H 1.752 0.000 0.000
Ru 0.000 0.000 2.685
Br 1.752 1.752 2.685
```

Computed properties:
**Uncorrected energy**: -3.21 eV per atom
**Calculated density**: 4784 kg/m³
**Magnetization**: 1.04 μB/cell

***

The following is a PBEsol calculation of crystalline LiHSe2Br at its relaxed geometry, from Alexandria via LeMat-Bulk.

```
5
Lattice="3.844 0.000 0.000 0.000 3.844 0.000 0.000 0.000 7.385" Properties=species:S:1:pos:R:3 pbc="T T T"
Li 0.000 0.000 0.000
H 1.922 1.922 3.693
Se 0.000 1.922 3.693
Se 1.922 0.000 3.693
Br 1.922 1.922 0.000
```

Computed properties:
**Uncorrected energy**: -3.19 eV per atom
**Calculated density**: 3740 kg/m³
**Magnetization**: 0.00 μB/cell

***

Question: Which value of calculated density does entry 2 give?
Answer: 2319 kg/m³